Compound: CsAcSeCl2
Source: Alexandria via LeMat-Bulk
Functional: GGA-PBE
Structure: optimized geometry

Structure (POSCAR):
```
CsAcSeCl2
1.0
5.843 0.000 0.000
0.000 5.843 0.000
0.000 0.000 5.991
Cs Ac Se Cl
1 1 1 2
direct
0.000 0.000 0.000
0.500 0.500 0.500
0.500 0.500 0.000
0.000 0.500 0.500
0.500 0.000 0.500
```

## Properties
**VASP energy**: -0.1639 Ha/atom
**ΔE_f (raw)**: -10.2 eV/f.u.